[1]
Computed, not measured: Ac2P2N5 after structural relaxation at the PBE-GGA level of DFT.

The structure in POSCAR format:
```
Ac2P2N5
1.0
4.195 0.000 0.000
0.003 5.879 0.000
0.975 2.922 6.134
Ac P N
2 2 5
direct
0.227 0.167 0.167
0.773 0.833 0.833
0.269 0.420 0.659
0.731 0.580 0.341
0.000 0.500 0.500
0.293 0.123 0.794
0.293 0.582 0.796
0.707 0.418 0.204
0.707 0.877 0.206
```

theoretical density: 6.4 g cm⁻³
ΔE_f (raw): -0.89 eV/atom
calculated volume: 151.3 Å³ per cell
excess energy over the best structure of this formula in the dataset: 0 meV/atom

---

[2]
Computed, not measured: Ac3PaP2N8 after structural relaxation at the PBE-GGA level of DFT.

The structure in POSCAR format:
```
Ac3PaP2N8
1.0
5.771 0.000 0.000
-2.885 4.998 0.000
0.000 0.000 7.331
Ac Pa P N
3 1 2 8
direct
0.000 0.000 0.000
0.333 0.667 0.682
0.667 0.333 0.318
0.000 0.000 0.500
0.333 0.667 0.219
0.667 0.333 0.781
0.179 0.358 0.311
0.179 0.821 0.311
0.333 0.667 0.000
0.358 0.179 0.689
0.642 0.821 0.311
0.667 0.333 0.000
0.821 0.179 0.689
0.821 0.642 0.689
```

theoretical density: 8.5 g cm⁻³
ΔE_f (raw): -1.25 eV/atom
calculated volume: 211.4 Å³ per cell

---

[3]
Computed, not measured: AcPa3P4N12 after structural relaxation at the PBE-GGA level of DFT.

The structure in POSCAR format:
```
AcPa3P4N12
1.0
5.475 3.161 2.957
-5.475 3.161 2.957
0.000 -6.321 2.957
Ac Pa P N
1 3 4 12
direct
0.000 0.000 0.000
0.000 0.544 0.456
0.456 0.000 0.544
0.544 0.456 0.000
0.046 0.500 0.954
0.500 0.500 0.500
0.500 0.954 0.046
0.954 0.046 0.500
0.027 0.632 0.798
0.101 0.899 0.500
0.202 0.368 0.973
0.353 0.647 0.500
0.368 0.973 0.202
0.500 0.101 0.899
0.500 0.353 0.647
0.632 0.798 0.027
0.647 0.500 0.353
0.798 0.027 0.632
0.899 0.500 0.101
0.973 0.202 0.368
```

theoretical density: 6.6 g cm⁻³
ΔE_f (raw): -0.89 eV/atom
calculated volume: 307.0 Å³ per cell

---

[4]
Computed, not measured: AcPa2PN6 after structural relaxation at the PBE-GGA level of DFT.

The structure in POSCAR format:
```
AcPa2PN6
1.0
5.258 0.000 0.000
0.000 5.258 0.000
0.000 0.000 5.605
Ac Pa P N
1 2 1 6
direct
0.000 0.000 0.000
0.000 0.500 0.463
0.500 0.000 0.463
0.500 0.500 0.114
0.000 0.000 0.559
0.279 0.279 0.236
0.279 0.721 0.236
0.500 0.500 0.813
0.721 0.279 0.236
0.721 0.721 0.236
```

theoretical density: 8.6 g cm⁻³
ΔE_f (raw): -0.80 eV/atom
calculated volume: 154.9 Å³ per cell

---

[5]
Computed, not measured: Ac8P3Pb4N after structural relaxation at the PBE-GGA level of DFT.

The structure in POSCAR format:
```
Ac8P3Pb4N
1.0
7.425 -4.286 0.000
7.425 4.286 0.000
-4.942 0.000 8.519
Ac P Pb N
8 3 4 1
direct
0.221 0.221 0.694
0.221 0.751 0.694
0.249 0.779 0.306
0.264 0.264 0.290
0.736 0.736 0.710
0.751 0.221 0.694
0.779 0.249 0.306
0.779 0.779 0.306
0.000 0.500 0.500
0.500 0.000 0.500
0.500 0.500 0.500
0.000 0.000 0.000
0.000 0.500 0.000
0.500 0.000 0.000
0.500 0.500 0.000
0.000 0.000 0.500
```

theoretical density: 8.4 g cm⁻³
ΔE_f (raw): -0.86 eV/atom
calculated volume: 542.2 Å³ per cell

---

[6]
Computed, not measured: Ac4PPb2N2 after structural relaxation at the PBE-GGA level of DFT.

The structure in POSCAR format:
```
Ac4PPb2N2
1.0
8.469 -2.198 0.000
8.469 2.198 0.000
-4.648 0.000 8.261
Ac P Pb N
4 1 2 2
direct
0.019 0.019 0.295
0.279 0.279 0.367
0.721 0.721 0.633
0.981 0.981 0.705
0.500 0.500 0.500
0.401 0.401 0.941
0.599 0.599 0.059
0.175 0.175 0.478
0.825 0.825 0.522
```

theoretical density: 7.5 g cm⁻³
ΔE_f (raw): -0.92 eV/atom
calculated volume: 307.6 Å³ per cell

---

[7]
Computed, not measured: Ac3PPbN after structural relaxation at the PBE-GGA level of DFT.

The structure in POSCAR format:
```
Ac3PPbN
1.0
9.910 0.000 0.000
0.000 4.336 0.000
-2.666 0.000 9.824
Ac P Pb N
6 2 2 2
direct
0.055 0.250 0.338
0.338 0.250 0.975
0.387 0.750 0.655
0.613 0.250 0.345
0.662 0.750 0.025
0.945 0.750 0.662
0.158 0.250 0.644
0.842 0.750 0.356
0.304 0.750 0.273
0.696 0.250 0.727
0.415 0.750 0.893
0.585 0.250 0.107
```

theoretical density: 7.3 g cm⁻³
ΔE_f (raw): -0.98 eV/atom
calculated volume: 422.2 Å³ per cell

---

[8]
Computed, not measured: AcPPdN2 after structural relaxation at the PBE-GGA level of DFT.

The structure in POSCAR format:
```
AcPPdN2
1.0
1.939 -6.144 0.000
1.939 6.144 0.000
0.000 0.000 6.511
Ac P Pd N
2 2 2 4
direct
0.197 0.803 0.750
0.803 0.197 0.250
0.500 0.500 0.000
0.500 0.500 0.500
0.052 0.948 0.250
0.948 0.052 0.750
0.364 0.636 0.505
0.364 0.636 0.995
0.636 0.364 0.005
0.636 0.364 0.495
```

theoretical density: 8.4 g cm⁻³
ΔE_f (raw): -0.47 eV/atom
calculated volume: 155.1 Å³ per cell

---

[9]
Computed, not measured: Ac3P2PdN6 after structural relaxation at the PBE-GGA level of DFT.

The structure in POSCAR format:
```
Ac3P2PdN6
1.0
5.759 0.000 0.000
-2.880 4.988 0.000
0.000 0.000 6.760
Ac P Pd N
3 2 1 6
direct
0.000 0.000 0.000
0.333 0.667 0.658
0.667 0.333 0.342
0.333 0.667 0.207
0.667 0.333 0.793
0.000 0.000 0.500
0.176 0.352 0.283
0.176 0.824 0.283
0.352 0.176 0.717
0.648 0.824 0.283
0.824 0.176 0.717
0.824 0.648 0.717
```

theoretical density: 8.0 g cm⁻³
ΔE_f (raw): -0.72 eV/atom
calculated volume: 194.2 Å³ per cell

---

[10]
Computed, not measured: AcPrPN after structural relaxation at the PBE-GGA level of DFT.

The structure in POSCAR format:
```
AcPrPN
1.0
2.121 1.225 13.878
-2.121 1.225 13.878
0.000 -2.449 13.878
Ac Pr P N
2 2 2 2
direct
0.119 0.119 0.119
0.881 0.881 0.881
0.295 0.295 0.295
0.705 0.705 0.705
0.000 0.000 0.000
0.500 0.500 0.500
0.242 0.242 0.242
0.758 0.758 0.758
```

theoretical density: 6.3 g cm⁻³
ΔE_f (raw): -1.08 eV/atom
calculated volume: 216.3 Å³ per cell

---

[11]
Computed, not measured: Ac2PrP2N6 after structural relaxation at the PBE-GGA level of DFT.

The structure in POSCAR format:
```
Ac2PrP2N6
1.0
5.960 0.000 0.000
-2.980 5.161 0.000
0.000 0.000 6.325
Ac Pr P N
2 1 2 6
direct
0.333 0.667 0.330
0.667 0.333 0.670
0.000 0.000 0.000
0.333 0.667 0.809
0.667 0.333 0.191
0.109 0.374 0.757
0.265 0.891 0.757
0.374 0.265 0.243
0.626 0.735 0.757
0.735 0.109 0.243
0.891 0.626 0.243
```

theoretical density: 6.3 g cm⁻³
ΔE_f (raw): -0.85 eV/atom
calculated volume: 194.6 Å³ per cell

---

[12]
Computed, not measured: AcPr2P2N6 after structural relaxation at the PBE-GGA level of DFT.

The structure in POSCAR format:
```
AcPr2P2N6
1.0
4.983 -2.815 0.000
4.983 2.815 0.000
-3.410 0.000 6.087
Ac Pr P N
1 2 2 6
direct
0.000 0.000 0.000
0.203 0.203 0.671
0.797 0.797 0.329
0.467 0.467 0.253
0.533 0.533 0.747
0.195 0.677 0.657
0.285 0.285 0.128
0.323 0.805 0.343
0.677 0.195 0.657
0.715 0.715 0.872
0.805 0.323 0.343
```

theoretical density: 6.4 g cm⁻³
ΔE_f (raw): -0.92 eV/atom
calculated volume: 170.7 Å³ per cell

---

- What is the ΔE_f (raw) in the eighth record?
  -0.47 eV/atom